Record 1
# CaAs2IO

CaAs2IO at its PBEsol-relaxed geometry (SCAN, Alexandria via LeMat-Bulk).

Cell: 4.2176 4.2176 6.3619 Å, 90.00 90.00 90.00°
Fractional coordinates of all 5 atoms:
I 0.0000 0.0000 0.5000
As 0.0000 0.5000 0.0000
O 0.0000 0.0000 0.0000
Ca 0.5000 0.5000 0.5000
As 0.5000 0.0000 0.0000

Values from the calculation:
- E_form (uncorrected): -0.4042 eV per atom


Record 2
# Mg2GePd2

Mg2GePd2 at its PBEsol-relaxed geometry (SCAN, Alexandria via LeMat-Bulk).

Cell: 4.0927 6.4695 6.4695 Å, 90.00 90.00 90.00°
Fractional coordinates of all 10 atoms:
Mg 0.5000 0.3389 0.1611
Pd 0.0000 0.3501 0.8501
Mg 0.5000 0.6611 0.8389
Ge 0.0000 0.5000 0.5000
Pd 0.0000 0.8501 0.6499
Mg 0.5000 0.8389 0.3389
Ge 0.0000 0.0000 0.0000
Mg 0.5000 0.1611 0.6611
Pd 0.0000 0.6499 0.1499
Pd 0.0000 0.1499 0.3501

Values from the calculation:
- Energy relative to the elements: -601.0 meV/atom


E / eV per cell: -95.0 -195.2